# La2Sm3In

A geometry-optimized La2Sm3In structure (GGA-PBE, the Alexandria database).

DFT formation energy = -0.107 eV/atom
E above lowest polymorph = 23 kJ/mol of formula units
Crystal system = orthorhombic
Magnetic moment = 0.000 μB/cell
V = 401 Å³/cell
Symmetry = Cmcm

Lattice parameters (Å, degrees): 6.465 7.033 9.403 90.01 110.10 90.00
Element x y z (fractional)
La: 0.705 0.750 0.355
La: 0.650 0.250 0.355
La: 0.350 0.750 0.645
La: 0.295 0.250 0.645
Sm: 0.681 0.250 0.000
Sm: 0.319 0.750 0.000
Sm: 0.139 0.000 0.278
Sm: 0.861 0.500 0.722
Sm: 0.139 0.500 0.278
Sm: 0.861 0.000 0.722
In: 0.806 0.750 0.000
In: 0.194 0.250 0.000